--- i ---
Density functional theory data (PBE) for Ti3ZnHg after structural relaxation.

```
data_Ti3ZnHg
_chemical_formula_sum 'Ti6 Zn2 Hg2'
_cell_length_a 5.178
_cell_length_b 4.897
_cell_length_c 7.551
_cell_angle_alpha 90.00
_cell_angle_beta 110.05
_cell_angle_gamma 90.00
_symmetry_space_group_name_H-M 'P 1'
_symmetry_Int_Tables_number 1
loop_
_symmetry_equiv_pos_as_xyz
'x,y,z'
loop_
_atom_site_label
_atom_site_fract_x
_atom_site_fract_y
_atom_site_fract_z
_atom_site_occupancy
Ti1 0.595 0.250 0.674 1
Ti2 0.079 0.250 0.674 1
Ti3 0.921 0.750 0.326 1
Ti4 0.405 0.750 0.326 1
Ti5 0.000 0.000 0.000 1
Ti6 0.000 0.500 0.000 1
Zn1 0.171 0.250 0.342 1
Zn2 0.829 0.750 0.658 1
Hg1 0.569 0.250 0.138 1
Hg2 0.431 0.750 0.862 1
```

Results
As for the density of states at the Fermi level: 9.311 states/eV per cell.

=====

--- ii ---
Density functional theory data (PBE) for Ti3ZnHg after structural relaxation.

```
data_Ti3ZnHg
_chemical_formula_sum 'Ti3 Zn1 Hg1'
_cell_length_a 4.675
_cell_length_b 4.675
_cell_length_c 4.675
_cell_angle_alpha 90.00
_cell_angle_beta 90.00
_cell_angle_gamma 90.00
_symmetry_space_group_name_H-M 'P 1'
_symmetry_Int_Tables_number 1
loop_
_symmetry_equiv_pos_as_xyz
'x,y,z'
loop_
_atom_site_label
_atom_site_fract_x
_atom_site_fract_y
_atom_site_fract_z
_atom_site_occupancy
Zn1 0.000 0.000 0.000 1
Hg1 0.500 0.500 0.500 1
Ti1 0.000 0.500 0.000 1
Ti2 0.000 0.000 0.500 1
Ti3 0.500 0.000 0.000 1
```

Results
As for the density of states at the Fermi level: 2.473 states/eV per cell.

=====

The structure with the most favorable energy is i; the runner-up is 468 meV/atom above it.